No. 1
DFT (GGA-PBE) results for a relaxed structure of CoHgOs2C.

abc: 4.752 4.752 3.455
angles: 90.00 90.00 90.00
Element x y z (fractional)
Co: 0.000 0.000 0.000
Hg: 0.500 0.500 0.500
Os: 0.000 0.500 0.000
Os: 0.500 0.000 0.000
C: 0.000 0.000 0.500

Summary:
* spin magnetization: 0.728 μB per atom
* density: 13.9 Mg/m³
* energy relative to the elements: 1822 meV per atom

No. 2
DFT (GGA-PBE) results for a relaxed structure of Pr2CoHgC.

abc: 5.384 5.384 3.681
angles: 90.00 90.00 90.00
Element x y z (fractional)
Pr: 0.000 0.500 0.000
Pr: 0.500 0.000 0.000
Co: 0.000 0.000 0.500
Hg: 0.500 0.500 0.500
C: 0.000 0.000 0.000

Summary:
* spin magnetization: 0.000 μB per atom
* density: 8.6 Mg/m³
* energy relative to the elements: -280 meV per atom

No. 3
DFT (GGA-PBE) results for a relaxed structure of Rb2CoHgC.

abc: 6.590 6.590 4.902
angles: 90.00 90.00 90.00
Element x y z (fractional)
Rb: 0.000 0.500 0.000
Rb: 0.500 0.000 0.000
Co: 0.000 0.000 0.500
Hg: 0.000 0.000 0.000
C: 0.500 0.500 0.500

Summary:
* spin magnetization: 0.320 μB per atom
* density: 3.5 Mg/m³
* energy relative to the elements: 1862 meV per atom

No. 4
DFT (GGA-PBE) results for a relaxed structure of CoHgRh2C.

abc: 4.139 4.139 3.894
angles: 90.00 90.00 90.00
Element x y z (fractional)
Co: 0.000 0.000 0.000
Hg: 0.500 0.500 0.000
Rh: 0.000 0.500 0.500
Rh: 0.500 0.000 0.500
C: 0.000 0.000 0.500

Summary:
* spin magnetization: 0.194 μB per atom
* density: 11.9 Mg/m³
* energy relative to the elements: 165 meV per atom

Among the records above, which one has the lowest spin magnetization?
Pr2CoHgC